# 1
Here is a relaxed ZrReTc2 crystal from Alexandria. Energies are from GGA-PBE.

Properties
Final energy = -10.249 eV/atom
ρ = 12.04 Mg/m³
Magnetic moment = 0.000 μB/atom
E_form = 0.183 eV/atom
V = 65.3 Å³/f.u.

Lattice parameters (Å, degrees): 9.6868 9.6868 9.6868 16.68 16.68 16.68
Atoms (fractional coordinates):
Zr 0.0000 0.0000 0.0000
Re 0.2422 0.2422 0.2422
Tc 0.4992 0.4992 0.4992
Tc 0.7571 0.7571 0.7571

# 2
Here is a relaxed ZrReTc2 crystal from Alexandria. Energies are from GGA-PBE.

Properties
Final energy = -10.256 eV/atom
ρ = 12.01 Mg/m³
Magnetic moment = 0.000 μB/atom
E_form = 0.176 eV/atom
V = 65.4 Å³/f.u.

Lattice parameters (Å, degrees): 9.5926 9.5926 9.5926 16.95 16.95 16.95
Atoms (fractional coordinates):
Zr 0.0000 0.0000 0.0000
Re 0.5000 0.5000 0.5000
Tc 0.2428 0.2428 0.2428
Tc 0.7572 0.7572 0.7572

# 3
Here is a relaxed Zr4ReTc crystal from Alexandria. Energies are from GGA-PBE.

Properties
Final energy = -8.771 eV/atom
ρ = 9.04 Mg/m³
Magnetic moment = 0.000 μB/atom
E_form = 0.730 eV/atom
Excess energy over the best structure of this formula in the dataset = 540 kJ/mol of formula units
V = 119.2 Å³/f.u.

Lattice parameters (Å, degrees): 5.5238 5.5238 5.5238 60.00 60.00 60.00
Atoms (fractional coordinates):
Zr 0.1249 0.1249 0.1249
Zr 0.1249 0.1249 0.6253
Zr 0.1249 0.6253 0.1249
Zr 0.6253 0.1249 0.1249
Re 0.7500 0.7500 0.7500
Tc 0.5000 0.5000 0.5000

# 4
Here is a relaxed Zr5ReTc4 crystal from Alexandria. Energies are from GGA-PBE.

Properties
Final energy = -9.989 eV/atom
ρ = 9.60 Mg/m³
Magnetic moment = 0.000 μB/atom
E_form = -0.323 eV/atom
V = 179.0 Å³/f.u.

Lattice parameters (Å, degrees): 3.2977 3.2977 16.4585 90.00 90.00 90.00
Atoms (fractional coordinates):
Zr 0.0000 0.0000 0.0000
Zr 0.0000 0.0000 0.1996
Zr 0.0000 0.0000 0.3994
Zr 0.0000 0.0000 0.6006
Zr 0.0000 0.0000 0.8004
Re 0.5000 0.5000 0.5000
Tc 0.5000 0.5000 0.1000
Tc 0.5000 0.5000 0.2994
Tc 0.5000 0.5000 0.7006
Tc 0.5000 0.5000 0.9000